Record 1
Density functional theory data (PBE-GGA) for a relaxed LuAgSnTe2S crystal.

abc: 7.5105 7.5105 10.2525
angles: 90.00 90.00 146.69
Fractional coordinates of all 12 atoms:
Te  0.3516  0.6484  0.5518
Lu  0.0000  0.0000  0.0000
Lu  0.0000  0.0000  0.5000
Te  0.3516  0.6484  0.9482
S  0.9201  0.0799  0.2500
Sn  0.2735  0.7265  0.2500
S  0.0799  0.9201  0.7500
Ag  0.5173  0.4827  0.2500
Te  0.6484  0.3516  0.0518
Ag  0.4827  0.5173  0.7500
Te  0.6484  0.3516  0.4482
Sn  0.7265  0.2735  0.7500


Record 2
Density functional theory data (PBE-GGA) for a relaxed KTmO3 crystal.

abc: 6.3230 6.3230 6.2146
angles: 59.42 59.42 60.00
Fractional coordinates of all 10 atoms:
O  0.0483  0.4977  0.7890
O  0.3350  0.9517  0.2110
Tm  0.3493  0.3493  0.9522
O  0.9517  0.5023  0.2110
Tm  0.6507  0.6507  0.0478
O  0.4977  0.6650  0.7890
O  0.5023  0.3350  0.2110
K  0.1207  0.1207  0.6380
O  0.6650  0.0483  0.7890
K  0.8793  0.8793  0.3620


Calculated raw total energy, -0.319 -0.440 Ry/atom (same order as the records).
Calculated magnetization, 0.01 2.00 μB/f.u. (same order as the records).